1.
Density functional theory data (PBE) for a relaxed structure of La2YOs.

The structure in POSCAR format:
```
La2YOs
1.0
0.0000 3.7462 3.7462
3.7462 0.0000 3.7462
3.7462 3.7462 0.0000
La Y Os
2 1 1
Direct
0.2500 0.2500 0.2500
0.7500 0.7500 0.7500
0.0000 0.0000 0.0000
0.5000 0.5000 0.5000
```

Computed properties:
Density of states at the Fermi level: 5.782 states/eV/cell
Calculated density: 8.8 g cm⁻³
ΔE_f: 0.279 eV per atom
Raw total energy: -6.608 eV/atom



2.
Density functional theory data (PBE) for a relaxed structure of KPaAlO4.

The structure in POSCAR format:
```
KPaAlO4
1.0
-3.0155 3.5440 4.8212
3.0155 -3.5440 4.8212
3.0155 3.5440 -4.8212
K Pa Al O
2 2 2 8
Direct
0.4014 0.1514 0.2500
0.5986 0.8486 0.7500
0.0000 0.5000 0.5000
0.5000 0.5000 0.0000
0.0000 0.0000 0.5000
0.0000 0.5000 0.0000
0.1637 0.7330 0.4306
0.1976 0.2670 0.9306
0.2077 0.2279 0.5202
0.2077 0.6874 0.9798
0.7923 0.3126 0.0202
0.7923 0.7721 0.4798
0.8024 0.7330 0.0694
0.8363 0.2670 0.5694
```

Computed properties:
Formation energy from raw total energies: -2.67 eV/atom
Density of states at the Fermi level: 2.105 states/eV/cell
Calculated density: 5.8 g cm⁻³
Raw total energy: -7.549 eV/atom



3.
Density functional theory data (PBE) for a relaxed structure of AlAuBr2.

The structure in POSCAR format:
```
AlAuBr2
1.0
5.1365 0.0000 0.0000
0.0000 5.1365 0.0000
0.0000 0.0000 3.5890
Al Au Br
1 1 2
Direct
0.0000 0.0000 0.0000
0.5000 0.5000 0.0000
0.0000 0.5000 0.5000
0.5000 0.0000 0.5000
```

Computed properties:
Formation energy from raw total energies: 0.16 eV/atom
Density of states at the Fermi level: 1.132 states/eV/cell
Calculated density: 6.7 g cm⁻³
Raw total energy: -2.426 eV/atom



4.
Density functional theory data (PBE) for a relaxed structure of BiRhN2F.

The structure in POSCAR format:
```
BiRhN2F
1.0
4.0154 0.0000 0.0000
0.0000 4.0154 0.0000
0.0000 0.0000 4.1254
Bi Rh N F
1 1 2 1
Direct
0.0000 0.0000 0.0000
0.5000 0.5000 0.5000
0.0000 0.5000 0.5000
0.5000 0.0000 0.5000
0.5000 0.5000 0.0000
```

Computed properties:
Formation energy from raw total energies: 0.46 eV/atom
Density of states at the Fermi level: 4.479 states/eV/cell
Calculated density: 9.0 g cm⁻³
Raw total energy: -5.495 eV/atom



5.
Density functional theory data (PBE) for a relaxed structure of Ta3OsCl.

The structure in POSCAR format:
```
Ta3OsCl
1.0
4.4578 0.0000 0.0000
0.0000 4.4578 0.0000
0.0000 0.0000 4.4578
Ta Os Cl
3 1 1
Direct
0.0000 0.0000 0.5000
0.0000 0.5000 0.0000
0.5000 0.0000 0.0000
0.5000 0.5000 0.5000
0.0000 0.0000 0.0000
```

Computed properties:
Formation energy from raw total energies: 1.05 eV/atom
Density of states at the Fermi level: 6.137 states/eV/cell
Calculated density: 14.4 g cm⁻³
Raw total energy: -8.678 eV/atom



6.
Density functional theory data (PBE) for a relaxed structure of Li3U3MnS8.

The structure in POSCAR format:
```
Li3U3MnS8
1.0
3.8272 2.2096 6.2130
-3.8272 2.2096 6.2130
0.0000 -4.4192 6.2130
Li U Mn S
3 3 1 8
Direct
0.0000 0.5000 0.5000
0.5000 0.0000 0.5000
0.5000 0.5000 0.0000
0.0000 0.0000 0.5000
0.0000 0.5000 0.0000
0.5000 0.0000 0.0000
0.5000 0.5000 0.5000
0.2535 0.2535 0.2535
0.2605 0.2605 0.7392
0.2605 0.7392 0.2605
0.2608 0.7395 0.7395
0.7392 0.2605 0.2605
0.7395 0.2608 0.7395
0.7395 0.7395 0.2608
0.7465 0.7465 0.7465
```

Computed properties:
Formation energy from raw total energies: -1.25 eV/atom
Density of states at the Fermi level: 9.051 states/eV/cell
Calculated density: 5.5 g cm⁻³
Raw total energy: -6.708 eV/atom



7.
Density functional theory data (PBE) for a relaxed structure of La12Ga6Os.

The structure in POSCAR format:
```
La12Ga6Os
1.0
6.1170 3.5316 4.6340
-6.1170 3.5316 4.6340
0.0000 -7.0633 4.6340
La Ga Os
12 6 1
Direct
0.0399 0.6787 0.9224
0.0775 0.9601 0.3213
0.1881 0.5527 0.4288
0.3213 0.0775 0.9601
0.4288 0.1881 0.5527
0.4473 0.5712 0.8119
0.5527 0.4288 0.1881
0.5712 0.8119 0.4473
0.6787 0.9225 0.0399
0.8119 0.4473 0.5712
0.9224 0.0399 0.6787
0.9601 0.3213 0.0775
0.1481 0.3464 0.7339
0.2661 0.8519 0.6536
0.3464 0.7339 0.1481
0.6536 0.2661 0.8519
0.7339 0.1481 0.3464
0.8519 0.6536 0.2661
0.0000 0.0000 0.0000
```

Computed properties:
Density of states at the Fermi level: 22.328 states/eV/cell
Calculated density: 6.3 g cm⁻³
ΔE_f: -0.313 eV per atom
Raw total energy: -4.971 eV/atom



8.
Density functional theory data (PBE) for a relaxed structure of CsLa2Rh.

The structure in POSCAR format:
```
CsLa2Rh
1.0
-4.3049 4.3049 6.1214
4.3049 -4.3049 6.1214
4.3049 4.3049 -6.1214
Cs La Rh
2 4 2
Direct
0.0000 0.0000 0.0000
0.7500 0.2500 0.5000
0.3742 0.6250 0.2492
0.3750 0.6242 0.7492
0.3758 0.1250 0.7508
0.8750 0.6258 0.2508
0.2500 0.7500 0.5000
0.5000 0.5000 0.0000
```

Computed properties:
Density of states at the Fermi level: 4.304 states/eV/cell
Calculated density: 3.8 g cm⁻³
ΔE_f: 0.053 eV per atom
Raw total energy: -4.462 eV/atom



9.
Density functional theory data (PBE) for a relaxed structure of KY3Br.

The structure in POSCAR format:
```
KY3Br
1.0
5.7184 0.0000 0.0000
0.0000 5.7184 0.0000
0.0000 0.0000 5.7184
K Y Br
1 3 1
Direct
0.0000 0.0000 0.0000
0.0000 0.0000 0.5000
0.0000 0.5000 0.0000
0.5000 0.0000 0.0000
0.5000 0.5000 0.5000
```

Computed properties:
Formation energy from raw total energies: 1.19 eV/atom
Density of states at the Fermi level: 7.899 states/eV/cell
Calculated density: 3.4 g cm⁻³
Raw total energy: -3.243 eV/atom



10.
Density functional theory data (PBE) for a relaxed structure of SiTeIr.

The structure in POSCAR format:
```
SiTeIr
1.0
6.3837 0.0000 0.0000
0.0000 6.3241 0.0000
-2.5607 0.0000 5.8645
Si Te Ir
4 4 4
Direct
0.1430 0.1489 0.3325
0.1430 0.3511 0.8325
0.8570 0.6489 0.1675
0.8570 0.8511 0.6675
0.3397 0.6194 0.6411
0.3397 0.8806 0.1411
0.6603 0.1194 0.8589
0.6603 0.3806 0.3589
0.2114 0.0156 0.7053
0.2114 0.4844 0.2053
0.7886 0.5156 0.7947
0.7886 0.9844 0.2947
```

Computed properties:
Formation energy from raw total energies: -0.50 eV/atom
Calculated density: 9.8 g cm⁻³
Raw total energy: -6.307 eV/atom



11.
Density functional theory data (PBE) for a relaxed structure of KZn3Ge2.

The structure in POSCAR format:
```
KZn3Ge2
1.0
8.9925 -2.1142 0.0000
8.9925 2.1142 0.0000
-0.5140 0.0000 7.3197
K Zn Ge
2 6 4
Direct
0.0873 0.0873 0.2323
0.9127 0.9127 0.7677
0.1106 0.1106 0.7398
0.2991 0.2991 0.4490
0.3184 0.3184 0.0883
0.6816 0.6816 0.9117
0.7009 0.7009 0.5510
0.8894 0.8894 0.2602
0.2566 0.2566 0.7708
0.4425 0.4425 0.3818
0.5575 0.5575 0.6182
0.7434 0.7434 0.2292
```

Computed properties:
Density of states at the Fermi level: 2.739 states/eV/cell
Calculated density: 4.5 g cm⁻³
ΔE_f: -0.013 eV per atom
Raw total energy: -2.372 eV/atom



12.
Density functional theory data (PBE) for a relaxed structure of Ce3ThGa2.

The structure in POSCAR format:
```
Ce3ThGa2
1.0
3.5266 0.0000 0.0000
0.0000 3.5266 0.0000
0.0000 0.0000 12.4437
Ce Th Ga
3 1 2
Direct
0.0000 0.0000 0.0000
0.0000 0.0000 0.3082
0.0000 0.0000 0.6918
0.5000 0.5000 0.5000
0.5000 0.5000 0.1563
0.5000 0.5000 0.8437
```

Computed properties:
Density of states at the Fermi level: 11.505 states/eV/cell
Calculated density: 8.5 g cm⁻³
ΔE_f: -0.302 eV per atom
Raw total energy: -5.514 eV/atom